The following is a DFT calculation (PBE) of a geometry-optimized Ba3LaS structure.

a b c (Å): 6.207 6.207 6.207
angles (deg): 90.00 90.00 90.00
Atoms (fractional coordinates):
La (0.500, 0.500, 0.500)
Ba (0.000, 0.500, 0.000)
Ba (0.500, 0.000, 0.000)
Ba (0.000, 0.000, 0.500)
S (0.000, 0.000, 0.000)

Results
* formation energy (no corrections): -0.553 eV/atom
* total DFT energy (no corrections): -3.518 eV/atom
* crystal system: cubic
* V: 239 Å³/f.u.
* DOS at the Fermi energy: 8.13 states/eV per cell
* symmetry: Pm-3m (221)
* distance to the lowest polymorph of the same formula: 0.000 eV per atom